Material: Tl2HgBr
Method: DFT, GGA-PBE
State: optimized geometry

Summary:
The calculation puts the total moment at 0.00 μB/cell. The total energy comes out at -2.033 eV per atom. As for the crystal system: monoclinic. The value obtained for the volume is 34.29 Å³/atom. As for the raw formation energy: -356 meV per atom.

Lattice parameters (Å, degrees): 4.7901 4.4485 6.5380 90.00 100.10 90.00
Closest atoms and distances in Å follow each position.
Space group P2/m (No. 10)
Inequivalent atoms, fractional coordinates:
Tl  0.0000  0.0000  0.0000 (multiplicity 1)  4 Br 3.27, 2 Hg 3.27
Tl  0.5000  0.5000  0.5000 (multiplicity 1)  4 Hg 3.27, 2 Br 3.27
Hg  0.0000  0.0000  0.5000 (multiplicity 1)  6 Tl 3.27
Br  0.5000  0.5000  0.0000 (multiplicity 1)  6 Tl 3.27



Material: LaPr12Tm2
Method: DFT, GGA-PBE
State: optimized geometry

Summary:
The calculation puts the total moment at 0.02 μB/cell. The value obtained for the formation enthalpy at 0 K is 3.5 kcal/mol of atoms. The total energy comes out at -4.596 eV per atom. As for the crystal system: orthorhombic. The value obtained for the volume is 35.88 Å³/atom.

Lattice parameters (Å, degrees): 7.2434 11.7830 25.2252 90.00 90.00 90.00
Closest atoms and distances in Å follow each position.
Space group Cmme (No. 67)
Inequivalent atoms, fractional coordinates:
La  0.0000  0.2500  0.0100 (multiplicity 4)  6 Pr 3.44-3.63, 2 La 3.66
Pr  0.0000  0.0194  0.9261 (multiplicity 8)  2 La 3.44-3.56, 7 Pr 3.64-3.76
Pr  0.0000  0.0244  0.4398 (multiplicity 8)  5 Pr 3.09-3.44
Pr  0.2307  0.2500  0.5856 (multiplicity 8)  7 Pr 3.34-3.72
Pr  0.2413  0.2500  0.1359 (multiplicity 8)  6 Pr 3.35-3.75, 1 La 3.63
Pr  0.2500  0.0000  0.1988 (multiplicity 8)  3 Pr 3.16-3.35
Pr  0.2500  0.0000  0.3242 (multiplicity 8)  3 Pr 3.16-3.44
Tm  0.0000  0.2500  0.2715 (multiplicity 4)  2 Tm 3.62, 10 Pr 3.70-3.91
Tm  0.0000  0.2500  0.7323 (multiplicity 4)  2 Tm 3.62, 10 Pr 3.74-3.87



Material: CaAg2Br
Method: DFT, GGA-PBE
State: optimized geometry

Summary:
The calculation puts the total moment at 0.00 μB/cell. The total energy comes out at -2.727 eV per atom. As for the crystal system: tetragonal. The value obtained for the volume is 27.15 Å³/atom. As for the raw formation energy: -383 meV per atom.

Lattice parameters (Å, degrees): 8.8375 8.8375 5.5628 90.00 90.00 90.00
Closest atoms and distances in Å follow each position.
Space group I-42d (No. 122)
Inequivalent atoms, fractional coordinates:
Ca  0.0000  0.0000  0.0000 (multiplicity 4)  2 Br 2.78
Ag  0.2338  0.7500  0.6250 (multiplicity 8)  2 Ag 2.80, 2 Br 3.10
Br  0.0000  0.0000  0.5000 (multiplicity 4)  2 Ca 2.78, 4 Ag 3.10



Material: La5CoIrAu2
Method: DFT, GGA-PBE
State: optimized geometry

Summary:
The calculation puts the total moment at 0.00 μB/cell. The value obtained for the formation enthalpy at 0 K is -13.0 kcal/mol of atoms. The total energy comes out at -5.802 eV per atom. As for the crystal system: orthorhombic. The value obtained for the volume is 27.03 Å³/atom.

Lattice parameters (Å, degrees): 4.8146 17.5299 11.5279 90.00 90.00 90.00
Closest atoms and distances in Å follow each position.
Space group Cmc2_1 (No. 36)
Inequivalent atoms, fractional coordinates:
La  0.0000  0.0035  0.0000 (multiplicity 4)  1 Co 2.88, 2 Au 3.18
La  0.0000  0.1455  0.2586 (multiplicity 4)  1 Ir 2.72
La  0.0000  0.1949  0.6142 (multiplicity 4)  1 Co 2.86, 2 Ir 3.00
La  0.0000  0.2065  0.9213 (multiplicity 4)  2 Ir 2.98, 1 Co 2.99, 3 Au 3.22-3.28
La  0.0000  0.4696  0.2489 (multiplicity 4)  2 Co 2.51
Co  0.0000  0.0680  0.7706 (multiplicity 4)  2 La 2.51
Ir  0.0000  0.3006  0.2690 (multiplicity 4)  6 La 2.72-3.00
Au  0.0000  0.3798  0.5639 (multiplicity 4)  8 La 3.24-3.39
Au  0.0000  0.3889  0.9519 (multiplicity 4)  8 La 3.18-3.41



Material: HgMo2
Method: DFT, GGA-PBE
State: optimized geometry

Summary:
The calculation puts the total moment at 0.00 μB/cell. The value obtained for the formation enthalpy at 0 K is 10.9 kcal/mol of atoms. The total energy comes out at -6.848 eV per atom. As for the crystal system: tetragonal. The value obtained for the volume is 17.44 Å³/atom.

Lattice parameters (Å, degrees): 4.2113 4.2113 23.6023 90.00 90.00 90.00
Closest atoms and distances in Å follow each position.
Space group I4_1/amd (No. 141, origin choice 2)
Inequivalent atoms, fractional coordinates:
Hg  0.0000  0.2500  0.2916 (multiplicity 8)  10 Mo 2.88-3.09, 2 Hg 2.88
Mo  0.0000  0.2500  0.1247 (multiplicity 8)  8 Mo 2.69-2.98, 4 Hg 2.88-2.89
Mo  0.0000  0.2500  0.8040 (multiplicity 8)  4 Mo 2.69-2.70, 4 Hg 2.99



Material: LiEr3
Method: DFT, GGA-PBE
State: optimized geometry

Summary:
The calculation puts the total moment at 0.00 μB/cell. The value obtained for the formation enthalpy at 0 K is 4.1 kcal/mol of atoms. The total energy comes out at -3.723 eV per atom. As for the crystal system: tetragonal. The value obtained for the volume is 28.06 Å³/atom.

Lattice parameters (Å, degrees): 5.4092 5.4092 7.6709 90.00 90.00 90.00
Closest atoms and distances in Å follow each position.
Space group I4/mmm (No. 139)
Inequivalent atoms, fractional coordinates:
Li  0.0000  0.0000  0.0000 (multiplicity 2)  8 Er 3.32
Er  0.0000  0.0000  0.5000 (multiplicity 2)  8 Er 3.32
Er  0.0000  0.5000  0.2500 (multiplicity 4)  4 Li 3.32, 4 Er 3.32



Repeat the first record exactly.
Material: Tl2HgBr
Method: DFT, GGA-PBE
State: optimized geometry

Summary:
The calculation puts the total moment at 0.00 μB/cell. The total energy comes out at -2.033 eV per atom. As for the crystal system: monoclinic. The value obtained for the volume is 34.29 Å³/atom. As for the raw formation energy: -356 meV per atom.

Lattice parameters (Å, degrees): 4.7901 4.4485 6.5380 90.00 100.10 90.00
Closest atoms and distances in Å follow each position.
Space group P2/m (No. 10)
Inequivalent atoms, fractional coordinates:
Tl  0.0000  0.0000  0.0000 (multiplicity 1)  4 Br 3.27, 2 Hg 3.27
Tl  0.5000  0.5000  0.5000 (multiplicity 1)  4 Hg 3.27, 2 Br 3.27
Hg  0.0000  0.0000  0.5000 (multiplicity 1)  6 Tl 3.27
Br  0.5000  0.5000  0.0000 (multiplicity 1)  6 Tl 3.27